[1]
This record from Alexandria describes a geometry-optimized Li2Au structure. The functional is PBE.

Results
Uncorrected energy (eV/atom): -2.7668
Crystal system: monoclinic
DFT formation energy (meV/atom): -398

a b c (Å): 7.387 7.387 5.258
angles (deg): 110.22 110.22 22.25
Fractional positions:
Li1 0.001 0.001 0.247
Li2 0.309 0.309 0.315
Li3 0.691 0.691 0.685
Li4 0.999 0.999 0.753
Au1 0.362 0.362 0.868
Au2 0.638 0.638 0.132

=====

[2]
This record from Alexandria describes a geometry-optimized Li2Au structure. The functional is PBE.

Results
Uncorrected energy (eV/atom): -2.7936
Crystal system: hexagonal
DFT formation energy (meV/atom): -425

a b c (Å): 7.216 7.216 3.363
angles (deg): 90.00 90.00 120.00
Fractional positions:
Li1 0.000 0.274 0.000
Li2 0.000 0.607 0.500
Li3 0.274 0.000 0.000
Li4 0.393 0.393 0.500
Li5 0.607 0.000 0.500
Li6 0.726 0.726 0.000
Au1 0.000 0.000 0.500
Au2 0.333 0.667 0.000
Au3 0.667 0.333 0.000